# Zr2InOs GGA-PBE relaxed
# space group = R3m
# DOS(E_F) = 1.131 states/eV/atom
# ΔE_f = 132 meV/atom
data_Zr2InOs
_symmetry_space_group_name_H-M 'P 1'
_symmetry_Int_Tables_number 1
_cell_length_a 9.4608
_cell_length_b 9.4608
_cell_length_c 9.4608
_cell_angle_alpha 19.59
_cell_angle_beta 19.59
_cell_angle_gamma 19.59
loop_
_symmetry_equiv_pos_as_xyz
'x,y,z'
loop_
_atom_site_label
_atom_site_type_symbol
_atom_site_fract_x
_atom_site_fract_y
_atom_site_fract_z
_atom_site_occupancy
Zr1 Zr 0.0000 0.0000 0.0000 1
Zr2 Zr 0.2414 0.2414 0.2414 1
In1 In 0.7590 0.7590 0.7590 1
Os1 Os 0.5038 0.5038 0.5038 1